(1)
7
Lattice="-2.5991 5.2289 3.3594 -3.2826 -4.2469 4.0707 10.5150 -0.5863 2.2933" Properties=species:S:1:pos:R:3 comment="CsRbBaI4, optimized geometry, DFT GGA-PBE" e_form_raw_ev_per_atom=-1.57 spacegroup="I4mm (107)" vol_a3_per_atom=62.68 pbc="T T T"
I 6.2129 2.5199 7.6391
Rb 5.4970 -0.0692 4.3606
I 2.6971 -0.0339 2.1395
Cs -0.8644 0.4649 5.3622
Ba 0.0400 -0.0005 0.0318
I 2.0204 0.4286 7.6506
I 5.8711 -2.2180 7.9947



(2)
8
Lattice="-3.0834 -3.9714 1.5011 6.6324 -2.9555 5.8044 -5.5695 6.0625 4.5989" Properties=species:S:1:pos:R:3 comment="Cs2RbBaI4, optimized geometry, DFT GGA-PBE" e_form_raw_ev_per_atom=-1.42 spacegroup="P2/m (10)" vol_a3_per_atom=54.45 pbc="T T T"
I -2.5461 3.9228 5.1484
I -1.0921 -1.3833 3.2677
Ba 1.7745 -3.4634 3.6527
Cs -4.3264 1.0455 3.0500
I 3.6090 -0.8158 5.2549
Rb 0.0000 0.0000 0.0000
I -0.9284 0.5190 8.6367
Cs 0.5314 1.5535 5.2016



(3)
15
Lattice="10.6932 0.0000 0.0000 -5.3466 9.2649 -0.0391 0.0000 -6.1511 9.0190" Properties=species:S:1:pos:R:3 comment="Cs3Rb3BaI8, optimized geometry, DFT GGA-PBE" e_form_raw_ev_per_atom=-1.58 spacegroup="C2/m (12)" vol_a3_per_atom=59.40 pbc="T T T"
I -2.8648 4.7612 6.4510
Cs 0.0000 0.0000 0.0000
I 0.0000 -0.2051 6.4745
I 8.2114 -1.6473 2.5290
Cs -2.6733 4.6324 -0.0195
Rb 2.6733 1.5569 4.4900
Ba 0.0000 -3.0755 4.5095
I 2.8648 4.7612 6.4510
Cs 2.6733 4.6324 -0.0195
I 5.3466 3.3189 2.5055
Rb -2.6733 1.5569 4.4900
Rb 5.3466 -3.0755 4.5095
I 2.4818 -1.6473 2.5290
I 0.0000 3.0925 2.3593
I 5.3466 0.0213 6.6207



(4)
12
Lattice="-2.3618 4.7414 0.6734 -9.7417 -4.6592 -1.3618 3.0821 -3.0750 11.2909" Properties=species:S:1:pos:R:3 comment="Cs3Rb2BaI6, optimized geometry, DFT GGA-PBE" e_form_raw_ev_per_atom=-1.45 spacegroup="C2/m (12)" vol_a3_per_atom=55.47 pbc="T T T"
I -6.1524 -0.5542 3.4949
I -2.1670 -1.0429 -0.2570
I -1.4279 1.7511 3.8335
I -2.8691 -2.4386 7.1076
Cs -1.5591 1.1189 7.8250
Rb -6.3770 -1.1894 7.1792
Cs -6.0517 0.0411 -0.3442
Cs -7.4624 -4.1116 2.7775
I -6.8544 -1.9498 10.8595
I -7.5936 -4.7438 6.7689
Rb -2.6444 -1.8034 3.4233
Ba -1.1809 2.3707 0.3367



It is found that the final energy values, taken in the order of the records, are -2.986, -2.772, -2.898, -2.765 eV per atom.
It is found that the size of the total moment values, taken in the order of the records, are 0.000, 0.000, 0.000, 0.002 μB/atom.